# 1
Below is Hg2Ge2As3P after structural relaxation, with properties calculated at the GGA-PBE level.

abc: 7.076 7.076 5.984
angles: 114.52 114.52 50.33
Atoms (fractional coordinates):
As  0.595  0.405  0.000
As  0.373  0.127  0.276
As  0.873  0.627  0.724
Ge  0.491  0.754  0.379
Ge  0.246  0.509  0.621
Hg  0.763  0.995  0.137
Hg  0.005  0.237  0.863
P  0.155  0.845  0.500

Summary:
space group = C2 (5)
total energy = -28.96 eV per formula unit

=====

# 2
Below is Ag2PbSe2 after structural relaxation, with properties calculated at the GGA-PBE level.

abc: 4.421 4.421 7.323
angles: 90.00 90.00 120.00
Atoms (fractional coordinates):
Ag  0.667  0.333  0.385
Ag  0.333  0.667  0.615
Pb  0.000  0.000  0.000
Se  0.333  0.667  0.237
Se  0.667  0.333  0.763

Summary:
space group = P-3m1 (164)
distance to the lowest polymorph of the same formula = 0.000 eV per atom
total energy = -17.63 eV per formula unit

=====

# 3
Below is Y3HfC2Se2 after structural relaxation, with properties calculated at the GGA-PBE level.

abc: 3.664 3.664 13.150
angles: 90.00 90.00 120.00
Atoms (fractional coordinates):
C  0.333  0.667  0.504
C  0.333  0.667  0.984
Hf  0.000  0.000  0.903
Se  0.000  0.000  0.246
Se  0.667  0.333  0.764
Y  0.667  0.333  0.096
Y  0.667  0.333  0.400
Y  0.000  0.000  0.604

Summary:
space group = P3m1 (156)
spin magnetization = 0.004 μB per formula unit
total energy = -63.87 eV per formula unit